LiGdErIn: optimized geometry, PBE-GGA.

## Properties
- DOS(E_F) (states/eV/f.u.) = 2.89
- total DFT energy (no corrections) (eV per cell) = -24.4
- symmetry = No. 216

Cell: 5.267 5.267 5.267 Å, 60.00 60.00 60.00°
Positions (direct):
In 0.500 0.500 0.500
Gd 0.250 0.250 0.250
Er 0.750 0.750 0.750
Li 0.000 0.000 0.000

=====

Ac2CdRh3: optimized geometry, PBE-GGA.

## Properties
- DOS(E_F) (states/eV/f.u.) = 8.43
- total DFT energy (no corrections) (eV per cell) = -67.3
- offset from the most stable computed form (kcal/mol of atoms) = 1.42
- symmetry = No. 69

Cell: 6.176 6.176 8.934 Å, 108.87 108.87 93.69°
Positions (direct):
Rh 0.832 0.832 0.664
Rh 0.677 0.160 0.837
Rh 0.168 0.168 0.336
Rh 0.323 0.840 0.163
Rh 0.160 0.677 0.837
Rh 0.840 0.323 0.163
Ac 0.757 0.757 0.000
Ac 0.250 0.750 0.500
Ac 0.750 0.250 0.500
Ac 0.243 0.243 0.000
Cd 0.663 0.663 0.327
Cd 0.337 0.337 0.673

=====

HfHgP2H: optimized geometry, PBE-GGA.

## Properties
- DOS(E_F) (states/eV/f.u.) = 6.41
- total DFT energy (no corrections) (eV per cell) = -15.6
- symmetry = No. 123

Cell: 4.848 5.482 4.848 Å, 90.00 90.00 90.00°
Positions (direct):
H 0.500 0.500 0.500
Hg 0.000 0.000 0.000
P 0.000 0.000 0.500
P 0.500 0.000 0.000
Hf 0.000 0.500 0.000

=====

CaTl8In2: optimized geometry, PBE-GGA.

## Properties
- DOS(E_F) (states/eV/f.u.) = 5.27
- total DFT energy (no corrections) (eV per cell) = -27.1
- offset from the most stable computed form (kcal/mol of atoms) = 0.00
- symmetry = No. 12

Cell: 4.527 7.959 9.581 Å, 104.58 103.66 90.00°
Positions (direct):
In 0.227 0.628 0.455
In 0.773 0.372 0.545
Tl 0.407 0.544 0.814
Tl 0.858 0.813 0.717
Tl 0.955 0.279 0.910
Tl 0.318 0.097 0.635
Tl 0.045 0.721 0.090
Tl 0.142 0.187 0.283
Tl 0.682 0.903 0.365
Tl 0.593 0.456 0.186
Ca 0.500 0.000 0.000

=====

MgAs: optimized geometry, PBE-GGA.

## Properties
- DOS(E_F) (states/eV/f.u.) = 0.63
- total DFT energy (no corrections) (eV per cell) = -24.1
- offset from the most stable computed form (kcal/mol of atoms) = 12.24
- symmetry = No. 194

Cell: 4.811 4.811 8.677 Å, 90.00 90.00 120.00°
Positions (direct):
Mg 0.667 0.333 0.250
Mg 0.000 0.000 0.250
Mg 0.000 0.000 0.750
Mg 0.333 0.667 0.750
As 0.333 0.667 0.410
As 0.333 0.667 0.090
As 0.667 0.333 0.590
As 0.667 0.333 0.910